1.
Crystalline CoNi2Cl at its relaxed geometry, computed with PBE.

POSCAR file:
```
CoNi2Cl
1.0
-3.827 -0.009 0.719
-0.560 -1.864 -3.005
0.351 -3.056 1.830
Ni Co Cl
2 1 1
Direct
0.000 0.000 0.000 Ni
0.000 0.500 0.500 Ni
0.500 0.000 0.500 Co
0.500 0.500 0.000 Cl
```

Summary:
Energy relative to the lowest polymorph listed for this composition = 454 meV per atom
Formation energy (no corrections) = 0.6691 eV per atom

***

2.
Crystalline Ca2TlHg2 at its relaxed geometry, computed with PBE.

POSCAR file:
```
Ca2TlHg2
1.0
8.769 0.000 0.000
0.000 8.769 0.000
0.000 0.000 3.818
Tl Ca Hg
2 4 4
Direct
0.000 0.000 0.000 Tl
0.500 0.500 0.000 Tl
0.346 0.846 0.000 Ca
0.846 0.654 0.000 Ca
0.654 0.154 0.000 Ca
0.154 0.346 0.000 Ca
0.141 0.641 0.500 Hg
0.641 0.859 0.500 Hg
0.859 0.359 0.500 Hg
0.359 0.141 0.500 Hg
```

Summary:
Energy relative to the lowest polymorph listed for this composition = 78 meV per atom
Calculated formation energy = -1.782 eV per formula unit

***

3.
Crystalline Ca2MgPb at its relaxed geometry, computed with PBE.

POSCAR file:
```
Ca2MgPb
1.0
5.216 0.000 0.000
0.000 4.349 0.002
0.000 -0.002 5.214
Pb Ca Mg
1 2 1
Direct
0.500 0.625 0.875 Pb
0.000 0.125 0.875 Ca
0.500 0.125 0.375 Ca
0.000 0.625 0.376 Mg
```

Summary:
Calculated formation energy = -1.463 eV per formula unit

***

4.
Crystalline ErSc3Tc at its relaxed geometry, computed with PBE.

POSCAR file:
```
ErSc3Tc
1.0
-4.454 -1.879 1.296
-1.376 -0.826 -5.927
3.092 -7.137 0.277
Er Sc Tc
2 6 2
Direct
0.750 0.250 0.451 Er
0.250 0.750 0.549 Er
0.250 0.487 0.151 Sc
0.750 0.513 0.849 Sc
0.250 0.013 0.151 Sc
0.750 0.987 0.849 Sc
0.250 0.250 0.775 Sc
0.750 0.750 0.225 Sc
0.750 0.250 0.118 Tc
0.250 0.750 0.882 Tc
```

Summary:
Energy relative to the lowest polymorph listed for this composition = 10 meV per atom
Calculated formation energy = -0.096 eV per formula unit

***

5.
Crystalline SrMo2P at its relaxed geometry, computed with PBE.

POSCAR file:
```
SrMo2P
1.0
0.000 3.309 3.309
3.309 0.000 3.309
3.309 3.309 0.000
Sr Mo P
1 2 1
Direct
0.250 0.250 0.250 Sr
0.000 0.000 0.000 Mo
0.750 0.750 0.750 Mo
0.500 0.500 0.500 P
```

Summary:
Calculated formation energy = 2.396 eV per formula unit

***

6.
Crystalline AcMg2OsN4 at its relaxed geometry, computed with PBE.

POSCAR file:
```
AcMg2OsN4
1.0
-2.067 -2.257 1.532
3.347 -3.262 -4.111
7.662 -1.808 7.674
Ac Mg Os N
2 4 2 8
Direct
0.067 0.134 0.750 Ac
0.933 0.866 0.250 Ac
0.386 0.771 0.534 Mg
0.614 0.229 0.034 Mg
0.614 0.229 0.466 Mg
0.386 0.771 0.966 Mg
0.808 0.616 0.750 Os
0.192 0.384 0.250 Os
0.272 0.544 0.110 N
0.728 0.456 0.610 N
0.728 0.456 0.890 N
0.272 0.544 0.390 N
0.000 0.000 0.500 N
0.000 0.000 0.000 N
0.398 0.797 0.750 N
0.602 0.203 0.250 N
```

Summary:
Formation energy (no corrections) = -0.3424 eV per atom

***

7.
Crystalline Nd2PaAu at its relaxed geometry, computed with PBE.

POSCAR file:
```
Nd2PaAu
1.0
3.594 0.000 0.000
0.000 3.594 0.000
0.000 0.000 8.489
Nd Pa Au
2 1 1
Direct
0.000 0.000 0.773 Nd
0.000 0.000 0.227 Nd
0.500 0.500 0.500 Pa
0.500 0.500 0.000 Au
```

Summary:
Energy relative to the lowest polymorph listed for this composition = 0 meV per atom
Calculated formation energy = -0.865 eV per formula unit

***

8.
Crystalline KLi2SiF8 at its relaxed geometry, computed with PBE.

POSCAR file:
```
KLi2SiF8
1.0
-2.870 -3.549 -0.046
1.980 -1.588 -3.799
5.164 -3.905 3.690
K Li Si F
1 2 1 8
Direct
0.000 0.000 0.500 K
0.507 0.520 0.819 Li
0.493 0.480 0.181 Li
0.000 0.000 0.000 Si
0.188 0.799 0.171 F
0.727 0.738 0.004 F
0.826 0.181 0.159 F
0.812 0.201 0.829 F
0.273 0.262 0.996 F
0.174 0.819 0.841 F
0.526 0.673 0.571 F
0.474 0.327 0.429 F
```

Summary:
Formation energy (no corrections) = -2.8009 eV per atom

***

9.
Crystalline LiPm5Se8 at its relaxed geometry, computed with PBE.

POSCAR file:
```
LiPm5Se8
1.0
-0.026 -2.518 -7.250
-2.808 -5.425 4.647
-4.347 6.310 0.443
Li Pm Se
1 5 8
Direct
0.250 0.500 0.750 Li
0.006 0.374 0.125 Pm
0.875 0.881 0.249 Pm
0.751 0.626 0.632 Pm
0.500 0.000 0.500 Pm
0.368 0.119 0.994 Pm
0.131 0.746 0.021 Se
0.979 0.110 0.725 Se
0.760 0.246 0.365 Se
0.635 0.395 0.881 Se
0.486 0.605 0.240 Se
0.615 0.890 0.869 Se
0.275 0.254 0.385 Se
0.119 0.754 0.514 Se
```

Summary:
Formation energy (no corrections) = -1.8262 eV per atom

***

10.
Crystalline HfCuAu4 at its relaxed geometry, computed with PBE.

POSCAR file:
```
HfCuAu4
1.0
-1.004 -4.867 0.761
2.022 1.598 -4.316
4.645 -1.162 1.289
Hf Cu Au
1 1 4
Direct
0.498 0.003 0.001 Hf
0.998 0.503 0.501 Cu
0.335 0.166 0.501 Au
0.661 0.840 0.501 Au
0.835 0.665 0.001 Au
0.161 0.340 0.001 Au
```

Summary:
Energy relative to the lowest polymorph listed for this composition = 0 meV per atom
Calculated formation energy = -1.702 eV per formula unit

***

What did the third record say?
Crystalline Ca2MgPb at its relaxed geometry, computed with PBE.

POSCAR file:
```
Ca2MgPb
1.0
5.216 0.000 0.000
0.000 4.349 0.002
0.000 -0.002 5.214
Pb Ca Mg
1 2 1
Direct
0.500 0.625 0.875 Pb
0.000 0.125 0.875 Ca
0.500 0.125 0.375 Ca
0.000 0.625 0.376 Mg
```

Summary:
Calculated formation energy = -1.463 eV per formula unit